# YMnBi2O6 GGA+U optimized geometry
data_YMnBi2O6
_cell_length_a 5.637
_cell_length_b 5.877
_cell_length_c 6.016
_cell_angle_alpha 118.21
_cell_angle_beta 117.84
_cell_angle_gamma 90.15
_space_group_name_H-M_alt 'P 1'
_space_group_IT_number 1
loop_
_space_group_symop_operation_xyz
'x,y,z'
loop_
_atom_site_label
_atom_site_type_symbol
_atom_site_fract_x
_atom_site_fract_y
_atom_site_fract_z
Y1 Y 0.000 0.000 0.000
Mn1 Mn 0.495 0.470 0.967
Bi1 Bi 0.267 0.840 0.560
Bi2 Bi 0.799 0.351 0.571
O1 O 0.136 0.168 0.467
O2 O 0.204 0.648 0.993
O3 O 0.346 0.183 0.999
O4 O 0.629 0.679 0.849
O5 O 0.716 0.226 0.860
O6 O 0.847 0.693 0.487
# Final energy (eV/f.u.): -69.9